Crystalline Tb7Dy3Y at its relaxed geometry, computed with PBE.

Output
For the energy, the calculation gives -4.65 eV per atom. The calculation puts the formation energy at 137 meV per atom. The offset from the most stable computed form is 0.000 eV per atom.

Unit cell a=7.000 b=5.539 c=9.881 alpha=90.00 beta=110.32 gamma=90.00
Space group P2/m (No. 10)
Asymmetric unit:
Tb  0.000  0.000  0.000 (multiplicity 1)
Tb  0.148  0.500  0.291 (multiplicity 2)
Tb  0.320  0.500  0.641 (multiplicity 2)
Tb  0.419  0.000  0.830 (multiplicity 2)
Dy  0.280  0.500  0.998 (multiplicity 2)
Dy  0.500  0.000  0.500 (multiplicity 1)
Y  0.000  0.000  0.500 (multiplicity 1)